First-principles (PBE) data for a geometry-optimized AcZn2GaNi2 structure, as listed in Alexandria.

Calculated values
Density of states at the Fermi level: 3.4 states/eV/cell
ΔE_f: -154 meV/atom

abc: 4.454 4.454 6.010
angles: 90.00 90.00 90.00
Fractional coordinates of all 6 atoms:
Ac (0.000, 0.000, 0.000)
Zn (0.500, 0.500, 0.270)
Zn (0.500, 0.500, 0.730)
Ga (0.000, 0.000, 0.500)
Ni (0.000, 0.500, 0.500)
Ni (0.500, 0.000, 0.500)



First-principles (PBE) data for a geometry-optimized AcZnGaNi2 structure, as listed in Alexandria.

Calculated values
Density of states at the Fermi level: 2.3 states/eV/cell
ΔE_f: -396 meV/atom

abc: 6.112 6.112 6.112
angles: 140.31 140.31 57.39
Fractional coordinates of all 5 atoms:
Ac (0.000, 0.000, 0.000)
Zn (0.750, 0.250, 0.500)
Ga (0.250, 0.750, 0.500)
Ni (0.383, 0.383, 0.000)
Ni (0.617, 0.617, 0.000)



First-principles (PBE) data for a geometry-optimized Ac2Zn4Ga3Ni structure, as listed in Alexandria.

Calculated values
Density of states at the Fermi level: 6.2 states/eV/cell
ΔE_f: -397 meV/atom

abc: 4.471 4.471 10.278
angles: 90.00 90.00 90.00
Fractional coordinates of all 10 atoms:
Ac (0.000, 0.500, 0.242)
Ac (0.500, 0.000, 0.758)
Zn (0.000, 0.000, 0.500)
Zn (0.000, 0.500, 0.884)
Zn (0.500, 0.000, 0.116)
Zn (0.500, 0.500, 0.500)
Ga (0.000, 0.000, 0.000)
Ga (0.000, 0.500, 0.634)
Ga (0.500, 0.000, 0.366)
Ni (0.500, 0.500, 0.000)



First-principles (PBE) data for a geometry-optimized AcZnGa2Ni4 structure, as listed in Alexandria.

Calculated values
Density of states at the Fermi level: 3.7 states/eV/cell
ΔE_f: -368 meV/atom

abc: 9.085 9.085 9.085
angles: 26.02 26.02 26.02
Fractional coordinates of all 8 atoms:
Ac (0.000, 0.000, 0.000)
Zn (0.500, 0.500, 0.500)
Ga (0.233, 0.233, 0.233)
Ga (0.767, 0.767, 0.767)
Ni (0.133, 0.133, 0.133)
Ni (0.409, 0.409, 0.409)
Ni (0.591, 0.591, 0.591)
Ni (0.867, 0.867, 0.867)



First-principles (PBE) data for a geometry-optimized AcNpGa4 structure, as listed in Alexandria.

Calculated values
Density of states at the Fermi level: 14.3 states/eV/cell
ΔE_f: -228 meV/atom

abc: 5.688 5.688 5.688
angles: 60.00 60.00 60.00
Fractional coordinates of all 6 atoms:
Ac (0.000, 0.000, 0.000)
Np (0.750, 0.750, 0.750)
Ga (0.376, 0.376, 0.376)
Ga (0.376, 0.376, 0.871)
Ga (0.376, 0.871, 0.376)
Ga (0.871, 0.376, 0.376)



First-principles (PBE) data for a geometry-optimized AcNpGa2O8 structure, as listed in Alexandria.

Calculated values
E_tot: -7.471 eV/atom

abc: 6.091 6.091 6.091
angles: 107.30 107.30 113.91
Fractional coordinates of all 12 atoms:
Ac (0.000, 0.000, 0.000)
Np (0.250, 0.750, 0.500)
Ga (0.500, 0.500, 0.000)
Ga (0.750, 0.250, 0.500)
O (0.326, 0.119, 0.793)
O (0.326, 0.533, 0.207)
O (0.372, 0.039, 0.333)
O (0.467, 0.674, 0.793)
O (0.706, 0.039, 0.667)
O (0.881, 0.674, 0.207)
O (0.961, 0.294, 0.333)
O (0.961, 0.628, 0.667)



First-principles (PBE) data for a geometry-optimized AcGa4O7 structure, as listed in Alexandria.

Calculated values
E_tot: -6.262 eV/atom
Density of states at the Fermi level: 3.5 states/eV/cell

abc: 13.267 5.321 5.101
angles: 90.00 90.00 90.00
Fractional coordinates of all 24 atoms:
Ac (0.000, 0.116, 0.000)
Ac (0.500, 0.884, 0.500)
Ga (0.119, 0.664, 0.457)
Ga (0.248, 0.182, 0.436)
Ga (0.252, 0.818, 0.936)
Ga (0.381, 0.336, 0.957)
Ga (0.619, 0.336, 0.957)
Ga (0.748, 0.818, 0.936)
Ga (0.752, 0.182, 0.436)
Ga (0.881, 0.664, 0.457)
O (0.000, 0.808, 0.328)
O (0.120, 0.761, 0.812)
O (0.121, 0.326, 0.355)
O (0.232, 0.841, 0.308)
O (0.268, 0.159, 0.808)
O (0.379, 0.674, 0.855)
O (0.380, 0.239, 0.312)
O (0.500, 0.192, 0.828)
O (0.620, 0.239, 0.312)
O (0.621, 0.674, 0.855)
O (0.732, 0.159, 0.808)
O (0.768, 0.841, 0.308)
O (0.879, 0.326, 0.355)
O (0.880, 0.761, 0.812)



First-principles (PBE) data for a geometry-optimized Ac3Ga2O7 structure, as listed in Alexandria.

Calculated values
E_tot: -6.974 eV/atom
Density of states at the Fermi level: 1.4 states/eV/cell

abc: 12.681 12.681 3.931
angles: 90.00 90.00 162.28
Fractional coordinates of all 12 atoms:
Ac (0.000, 0.000, 0.000)
Ac (0.158, 0.842, 0.000)
Ac (0.842, 0.158, 0.000)
Ga (0.418, 0.582, 0.500)
Ga (0.582, 0.418, 0.500)
O (0.081, 0.919, 0.500)
O (0.339, 0.661, 0.500)
O (0.420, 0.580, 0.000)
O (0.500, 0.500, 0.500)
O (0.580, 0.420, 0.000)
O (0.661, 0.339, 0.500)
O (0.919, 0.081, 0.500)



First-principles (PBE) data for a geometry-optimized AcGaO4 structure, as listed in Alexandria.

Calculated values
E_tot: -5.706 eV/atom
Density of states at the Fermi level: 3.2 states/eV/cell

abc: 5.254 5.254 5.254
angles: 60.00 60.00 60.00
Fractional coordinates of all 6 atoms:
Ac (0.000, 0.000, 0.000)
Ga (0.500, 0.500, 0.500)
O (0.362, 0.362, 0.362)
O (0.362, 0.362, 0.915)
O (0.362, 0.915, 0.362)
O (0.915, 0.362, 0.362)



First-principles (PBE) data for a geometry-optimized Ac3Ga2O8 structure, as listed in Alexandria.

Calculated values
E_tot: -7.043 eV/atom
Density of states at the Fermi level: 11.1 states/eV/cell

abc: 7.550 7.550 7.550
angles: 45.15 45.15 45.15
Fractional coordinates of all 13 atoms:
Ac (0.000, 0.000, 0.000)
Ac (0.204, 0.204, 0.204)
Ac (0.796, 0.796, 0.796)
Ga (0.408, 0.408, 0.408)
Ga (0.592, 0.592, 0.592)
O (0.214, 0.739, 0.739)
O (0.261, 0.261, 0.786)
O (0.261, 0.786, 0.261)
O (0.317, 0.317, 0.317)
O (0.683, 0.683, 0.683)
O (0.739, 0.214, 0.739)
O (0.739, 0.739, 0.214)
O (0.786, 0.261, 0.261)



First-principles (PBE) data for a geometry-optimized Ac3Ga5O12 structure, as listed in Alexandria.

Calculated values
E_tot: -6.798 eV/atom
Density of states at the Fermi level: 0.0 states/eV/cell

abc: 11.259 11.259 11.259
angles: 109.47 109.47 109.47
Fractional coordinates of all 80 atoms:
Ac (0.125, 0.250, 0.375)
Ac (0.125, 0.375, 0.750)
Ac (0.250, 0.375, 0.125)
Ac (0.250, 0.875, 0.625)
Ac (0.375, 0.125, 0.250)
Ac (0.375, 0.750, 0.125)
Ac (0.625, 0.250, 0.875)
Ac (0.625, 0.875, 0.750)
Ac (0.750, 0.125, 0.375)
Ac (0.750, 0.625, 0.875)
Ac (0.875, 0.625, 0.250)
Ac (0.875, 0.750, 0.625)
Ga (0.000, 0.000, 0.000)
Ga (0.000, 0.000, 0.500)
Ga (0.000, 0.500, 0.000)
Ga (0.000, 0.500, 0.500)
Ga (0.125, 0.750, 0.875)
Ga (0.125, 0.875, 0.250)
Ga (0.250, 0.125, 0.875)
Ga (0.250, 0.625, 0.375)
Ga (0.375, 0.250, 0.625)
Ga (0.375, 0.625, 0.750)
Ga (0.500, 0.000, 0.000)
Ga (0.500, 0.000, 0.500)
Ga (0.500, 0.500, 0.000)
Ga (0.500, 0.500, 0.500)
Ga (0.625, 0.375, 0.250)
Ga (0.625, 0.750, 0.375)
Ga (0.750, 0.375, 0.625)
Ga (0.750, 0.875, 0.125)
Ga (0.875, 0.125, 0.750)
Ga (0.875, 0.250, 0.125)
O (0.016, 0.196, 0.115)
O (0.016, 0.320, 0.901)
O (0.081, 0.696, 0.680)
O (0.081, 0.885, 0.401)
O (0.099, 0.615, 0.419)
O (0.099, 0.984, 0.680)
O (0.115, 0.016, 0.196)
O (0.115, 0.599, 0.919)
O (0.180, 0.196, 0.581)
O (0.180, 0.484, 0.599)
O (0.196, 0.115, 0.016)
O (0.196, 0.581, 0.180)
O (0.304, 0.320, 0.919)
O (0.304, 0.484, 0.385)
O (0.320, 0.901, 0.016)
O (0.320, 0.919, 0.304)
O (0.385, 0.304, 0.484)
O (0.385, 0.581, 0.901)
O (0.401, 0.081, 0.885)
O (0.401, 0.820, 0.516)
O (0.419, 0.099, 0.615)
O (0.419, 0.820, 0.804)
O (0.484, 0.385, 0.304)
O (0.484, 0.599, 0.180)
O (0.516, 0.401, 0.820)
O (0.516, 0.615, 0.696)
O (0.581, 0.180, 0.196)
O (0.581, 0.901, 0.385)
O (0.599, 0.180, 0.484)
O (0.599, 0.919, 0.115)
O (0.615, 0.419, 0.099)
O (0.615, 0.696, 0.516)
O (0.680, 0.081, 0.696)
O (0.680, 0.099, 0.984)
O (0.696, 0.516, 0.615)
O (0.696, 0.680, 0.081)
O (0.804, 0.419, 0.820)
O (0.804, 0.885, 0.984)
O (0.820, 0.516, 0.401)
O (0.820, 0.804, 0.419)
O (0.885, 0.401, 0.081)
O (0.885, 0.984, 0.804)
O (0.901, 0.016, 0.320)
O (0.901, 0.385, 0.581)
O (0.919, 0.115, 0.599)
O (0.919, 0.304, 0.320)
O (0.984, 0.680, 0.099)
O (0.984, 0.804, 0.885)



First-principles (PBE) data for a geometry-optimized AcGa7O12 structure, as listed in Alexandria.

Calculated values
E_tot: -6.174 eV/atom
Density of states at the Fermi level: 0.0 states/eV/cell

abc: 6.531 6.531 6.531
angles: 109.47 109.47 109.47
Fractional coordinates of all 20 atoms:
Ac (0.000, 0.000, 0.000)
Ga (0.000, 0.000, 0.500)
Ga (0.000, 0.500, 0.000)
Ga (0.000, 0.500, 0.500)
Ga (0.500, 0.000, 0.000)
Ga (0.500, 0.000, 0.500)
Ga (0.500, 0.500, 0.000)
Ga (0.500, 0.500, 0.500)
O (0.135, 0.313, 0.822)
O (0.178, 0.491, 0.313)
O (0.178, 0.865, 0.687)
O (0.313, 0.178, 0.491)
O (0.313, 0.822, 0.135)
O (0.491, 0.313, 0.178)
O (0.509, 0.687, 0.822)
O (0.687, 0.178, 0.865)
O (0.687, 0.822, 0.509)
O (0.822, 0.135, 0.313)
O (0.822, 0.509, 0.687)
O (0.865, 0.687, 0.178)